--- P ---
Computed, not measured: a relaxed FeCo7 crystal at the PBE level of DFT.

Cell lengths 5.0121, 5.0121, 3.5212 Å; angles 90.00, 90.00, 90.01 degrees
Last column: nearest neighbours and their distance in Å.
Sites, in units of the cell vectors:
Fe 0.2500 0.7500 0.5000  12 Co 2.51
Co 0.5028 0.0028 0.0000  10 Co 2.48-2.53, 2 Fe 2.51
Co 0.2500 0.2500 0.5000  10 Co 2.50-2.51, 2 Fe 2.51
Co 0.9972 0.4972 0.0000  10 Co 2.48-2.53, 2 Fe 2.51
Co 0.7500 0.2500 0.5000  12 Co 2.48-2.51
Co 0.9971 0.0029 0.0000  10 Co 2.48-2.53, 2 Fe 2.51
Co 0.7500 0.7500 0.5000  10 Co 2.50-2.51, 2 Fe 2.51
Co 0.5029 0.4971 0.0000  10 Co 2.48-2.53, 2 Fe 2.51

Output
Space-group type: P4/mmm, No. 123
Size of the total moment in μB per formula unit: 14.46

=====

--- Q ---
Computed, not measured: a relaxed FeCo7 crystal at the PBE level of DFT.

Cell lengths 7.0411, 2.5066, 5.5941 Å; angles 63.35, 90.00, 90.00 degrees
Last column: nearest neighbours and their distance in Å.
Sites, in units of the cell vectors:
Co 0.7500 0.2500 0.2500  12 Co 2.49-2.51
Co 0.7500 0.7500 0.7500  12 Co 2.47-2.51
Co 0.2500 0.7500 0.7500  2 Fe 2.50, 10 Co 2.51
Co 0.9963 0.4968 0.5028  10 Co 2.47-2.53, 2 Fe 2.52
Co 0.5037 0.4968 0.5028  10 Co 2.47-2.53, 2 Fe 2.52
Fe 0.2500 0.2500 0.2500  10 Co 2.50-2.52, 2 Fe 2.51
Co 0.5037 0.0032 0.9972  10 Co 2.47-2.53, 2 Fe 2.52
Co 0.9963 0.0032 0.9972  10 Co 2.47-2.53, 2 Fe 2.52

Output
Space-group type: Pmmm, No. 47
Size of the total moment in μB per formula unit: 14.16

=====

--- R ---
Computed, not measured: a relaxed FeCo7 crystal at the PBE level of DFT.

Cell lengths 8.3723, 8.3723, 8.3723 Å; angles 160.65, 152.62, 33.75 degrees
Last column: nearest neighbours and their distance in Å.
Sites, in units of the cell vectors:
Co 0.0044 0.0044 0.0000  2 Fe 2.39, 6 Co 2.43-2.44
Co 0.4945 0.4945 0.0000  10 Co 2.44-2.69
Co 0.3694 0.8694 0.5000  10 Co 2.43-2.69
Co 0.6250 0.1250 0.5000  4 Fe 2.43, 4 Co 2.52
Fe 0.1250 0.6250 0.5000  8 Co 2.39-2.43
Co 0.8806 0.3806 0.5000  10 Co 2.43-2.69
Co 0.2456 0.2456 0.0000  2 Fe 2.39, 6 Co 2.43-2.44
Co 0.7555 0.7555 0.0000  10 Co 2.44-2.69

Output
Space-group type: Immm, No. 71
Size of the total moment in μB per formula unit: 14.84

=====

--- S ---
Computed, not measured: a relaxed FeCo7 crystal at the PBE level of DFT.

Cell lengths 6.2388, 6.2388, 6.2388 Å; angles 142.53, 142.53, 54.03 degrees
Last column: nearest neighbours and their distance in Å.
Sites, in units of the cell vectors:
Co 0.0004 0.0004 0.0000  6 Co 2.43-2.46, 2 Fe 2.44
Co 0.5004 0.5004 0.0000  6 Co 2.43-2.46, 2 Fe 2.44
Co 0.2496 0.2496 0.0000  6 Co 2.43-2.46, 2 Fe 2.44
Fe 0.6250 0.1250 0.5000  8 Co 2.44
Co 0.8773 0.3773 0.5000  8 Co 2.43-2.46
Co 0.3727 0.8727 0.5000  8 Co 2.43-2.46
Co 0.7496 0.7496 0.0000  6 Co 2.43-2.46, 2 Fe 2.44
Co 0.1250 0.6250 0.5000  8 Co 2.44

Output
Space-group type: I4/mmm, No. 139
Size of the total moment in μB per formula unit: 14.80

=====

Which is the most stable structure? P is the most stable.

=====

--- P ---
Computed, not measured: a relaxed FeCo7 crystal at the PBE level of DFT.

Cell lengths 3.5341, 2.4911, 10.3003 Å; angles 104.06, 90.00, 90.00 degrees
Last column: nearest neighbours and their distance in Å.
Sites, in units of the cell vectors:
Co 0.5000 0.8768 0.3768  11 Co 2.48-2.49, 1 Fe 2.52
Fe 0.5000 0.6250 0.1250  2 Fe 2.49, 10 Co 2.51-2.52
Co 0.0000 0.7495 0.7493  12 Co 2.47-2.49
Co 0.0000 0.5005 0.5007  12 Co 2.47-2.49
Co 0.5000 0.1250 0.6250  12 Co 2.48-2.49
Co 0.5000 0.3732 0.8732  11 Co 2.48-2.49, 1 Fe 2.52
Co 0.0000 0.9963 0.9964  8 Co 2.47-2.57, 4 Fe 2.51-2.52
Co 0.0000 0.2537 0.2536  8 Co 2.47-2.57, 4 Fe 2.51-2.52

Output
Space-group type: P2/m, No. 10
Size of the total moment in μB per formula unit: 13.86

=====

--- Q ---
Computed, not measured: a relaxed FeCo7 crystal at the PBE level of DFT.

Cell lengths 5.0024, 5.0024, 5.0024 Å; angles 60.00, 60.00, 60.00 degrees
Last column: nearest neighbours and their distance in Å.
Sites, in units of the cell vectors:
Co 0.0000 0.5000 0.0000  10 Co 2.50, 2 Fe 2.50
Co 0.5000 0.5000 0.5000  12 Co 2.50
Co 0.5000 0.0000 0.0000  10 Co 2.50, 2 Fe 2.50
Co 0.5000 0.5000 0.0000  10 Co 2.50, 2 Fe 2.50
Co 0.5000 0.0000 0.5000  2 Fe 2.50, 10 Co 2.50
Co 0.0000 0.0000 0.5000  10 Co 2.50, 2 Fe 2.50
Fe 0.0000 0.0000 0.0000  12 Co 2.50
Co 0.0000 0.5000 0.5000  10 Co 2.50, 2 Fe 2.50

Output
Space-group type: Fm-3m, No. 225
Size of the total moment in μB per formula unit: 14.50

=====

Which is the most stable structure? Q is the most stable.

=====

--- P ---
Computed, not measured: a relaxed FeCo7 crystal at the PBE level of DFT.

Cell lengths 3.5123, 5.6021, 5.0141 Å; angles 63.45, 90.00, 90.00 degrees
Last column: nearest neighbours and their distance in Å.
Sites, in units of the cell vectors:
Co 0.5000 0.7563 0.8718  11 Co 2.46-2.51, 1 Fe 2.54
Co 0.0000 0.9971 0.9986  10 Co 2.46-2.54, 2 Fe 2.51
Co 0.0000 0.5029 0.2514  10 Co 2.46-2.54, 2 Fe 2.51
Co 0.0000 0.5029 0.7453  10 Co 2.46-2.54, 2 Fe 2.51
Fe 0.5000 0.2500 0.1250  12 Co 2.51-2.54
Co 0.5000 0.2500 0.6250  10 Co 2.47-2.50, 2 Fe 2.51
Co 0.5000 0.7437 0.3782  11 Co 2.46-2.51, 1 Fe 2.54
Co 0.0000 0.9971 0.5047  10 Co 2.46-2.54, 2 Fe 2.51

Output
Space-group type: Cmmm, No. 65
Size of the total moment in μB per formula unit: 14.15

=====

--- Q ---
Computed, not measured: a relaxed FeCo7 crystal at the PBE level of DFT.

Cell lengths 2.8171, 2.8171, 11.2930 Å; angles 90.00, 90.00, 90.00 degrees
Last column: nearest neighbours and their distance in Å.
Sites, in units of the cell vectors:
Co 0.0000 0.0000 0.7501  4 Fe 2.44, 4 Co 2.46
Co 0.5000 0.5000 0.6216  8 Co 2.43-2.46
Fe 0.5000 0.5000 0.8750  8 Co 2.44
Co 0.0000 0.0000 0.4987  8 Co 2.43
Co 0.0000 0.0000 0.9999  4 Fe 2.44, 4 Co 2.46
Co 0.0000 0.0000 0.2513  8 Co 2.43
Co 0.5000 0.5000 0.3750  8 Co 2.43
Co 0.5000 0.5000 0.1284  8 Co 2.43-2.46

Output
Space-group type: P4/mmm, No. 123
Size of the total moment in μB per formula unit: 15.27

=====

Which is the most stable structure? P is the most stable.

=====

--- P ---
Computed, not measured: a relaxed FeCo7 crystal at the PBE level of DFT.

Cell lengths 4.8876, 4.8876, 4.8876 Å; angles 109.47, 109.47, 109.47 degrees
Last column: nearest neighbours and their distance in Å.
Sites, in units of the cell vectors:
Co 0.0000 0.0000 0.5000  8 Co 2.44
Co 0.0000 0.0000 0.0000  6 Co 2.44, 2 Fe 2.44
Co 0.0000 0.5000 0.5000  2 Fe 2.44, 6 Co 2.44
Co 0.5000 0.5000 0.0000  6 Co 2.44, 2 Fe 2.44
Co 0.5000 0.0000 0.0000  8 Co 2.44
Co 0.0000 0.5000 0.0000  8 Co 2.44
Co 0.5000 0.0000 0.5000  6 Co 2.44, 2 Fe 2.44
Fe 0.5000 0.5000 0.5000  8 Co 2.44

Output
Space-group type: Im-3m, No. 229
Size of the total moment in μB per formula unit: 15.51

=====

--- Q ---
Computed, not measured: a relaxed FeCo7 crystal at the PBE level of DFT.

Cell lengths 4.3108, 4.3108, 5.6041 Å; angles 74.88, 74.88, 108.84 degrees
Last column: nearest neighbours and their distance in Å.
Sites, in units of the cell vectors:
Co 0.2481 0.2481 0.5033  10 Co 2.47-2.54, 2 Fe 2.50
Co 0.8750 0.3750 0.2500  10 Co 2.48-2.50, 2 Fe 2.51
Co 0.5019 0.5019 0.9967  10 Co 2.47-2.54, 2 Fe 2.50
Co 0.0019 0.0019 0.9967  10 Co 2.47-2.54, 2 Fe 2.50
Co 0.6270 0.1270 0.7458  11 Co 2.47-2.51, 1 Fe 2.53
Co 0.7481 0.7481 0.5033  10 Co 2.47-2.54, 2 Fe 2.50
Fe 0.3750 0.8750 0.2500  12 Co 2.50-2.53
Co 0.1230 0.6230 0.7542  11 Co 2.47-2.51, 1 Fe 2.53

Output
Space-group type: Fmmm, No. 69
Size of the total moment in μB per formula unit: 14.02

=====

Which is the most stable structure? Q is the most stable.